(1)
Sm5ThRh6 | GGA-PBE | optimized geometry

Unit cell a=4.9504 b=7.1174 c=8.5663 alpha=65.46 beta=73.28 gamma=90.00
Atoms (fractional coordinates):
Rh: 0.8393 0.5987 0.3205
Rh: 0.8392 0.0808 0.3206
Rh: 0.5000 0.7648 0.0000
Rh: 0.5000 0.2352 0.0000
Rh: 0.1608 0.9192 0.6794
Rh: 0.1607 0.4013 0.6795
Th: 0.0000 0.0000 0.0000
Sm: 0.6741 0.1738 0.6523
Sm: 0.3358 0.3359 0.3282
Sm: 0.0000 0.5000 0.0000
Sm: 0.6642 0.6641 0.6718
Sm: 0.3259 0.8262 0.3477

Calculated values
- crystal system = monoclinic
- raw total energy (eV/atom) = -7.010
- DFT formation energy (eV/f.u.) = -8.99
- DOS at the Fermi energy (states/eV/atom) = 0.64

---

(2)
SmTh2Rh | GGA-PBE | optimized geometry

Unit cell a=3.8481 b=3.8481 c=9.6503 alpha=78.50 beta=78.50 gamma=60.00
Atoms (fractional coordinates):
Rh: 0.0000 0.0000 0.0000
Sm: 0.5000 0.5000 0.5000
Th: 0.2699 0.2699 0.1904
Th: 0.7301 0.7301 0.8096

Calculated values
- ΔE to the lowest computed polymorph (eV per atom) = 0.126
- crystal system = trigonal
- raw total energy (eV/atom) = -7.060
- DFT formation energy (eV/f.u.) = -1.33
- DOS at the Fermi energy (states/eV/atom) = 1.19

---

(3)
SmThRh2 | GGA-PBE | optimized geometry

Unit cell a=4.0067 b=4.0067 c=7.3493 alpha=74.18 beta=74.18 gamma=60.00
Atoms (fractional coordinates):
Sm: 0.4968 0.4968 0.5096
Th: 0.6692 0.6692 0.9925
Rh: 0.0811 0.0811 0.7566
Rh: 0.2529 0.2529 0.2413

Calculated values
- crystal system = trigonal
- raw total energy (eV/atom) = -7.417
- DFT formation energy (eV/f.u.) = -2.83
- DOS at the Fermi energy (states/eV/atom) = 0.86